# H3RhN | the Alexandria database | PBE-GGA | relaxed
data_H3RhN
_cell_length_a 3.351
_cell_length_b 3.351
_cell_length_c 3.351
_cell_angle_alpha 90.00
_cell_angle_beta 90.00
_cell_angle_gamma 90.00
_space_group_name_H-M_alt 'P 1'
_space_group_IT_number 1
loop_
_space_group_symop_operation_xyz
'x,y,z'
loop_
_atom_site_label
_atom_site_fract_x
_atom_site_fract_y
_atom_site_fract_z
H1 0.000 0.000 0.500
H2 0.000 0.500 0.000
H3 0.500 0.000 0.000
Rh1 0.000 0.000 0.000
N1 0.500 0.500 0.500
# DFT total energy	-3.893	eV per atom
# space-group type	Pm-3m
# DOS(E_F)	1.78	states/eV/f.u.
# ΔE to the lowest computed polymorph	1.94	kcal/mol of atoms